Below is a relaxed structure of SeSOF2, with properties calculated at the PBE level.

a = 4.660 Å, b = 4.660 Å, c = 3.390 Å
α = 90.00°, β = 90.00°, γ = 90.00°
Atoms (fractional coordinates):
Se 0.000 0.000 0.000
S 0.500 0.500 0.500
O 0.500 0.500 0.000
F 0.000 0.500 0.500
F 0.500 0.000 0.500

Summary:
Magnetization   2.2 μB per cell
Formation energy (no corrections)   -0.06 eV/atom